No. 1
Entry from Alexandria via LeMat-Bulk: an optimized crystal structure of Ga3ReTe (PBE-GGA).

Summary:
SG: Pm-3m (221)
Total magnetization, μB per formula unit: 1.54
Total DFT energy (no corrections), eV/atom: -4.489
Polymorph energy (0 for the lowest one), meV per atom: 0.0

Lattice parameters (Å, degrees): 4.9542 4.9542 4.9542 90.00 90.00 90.00
Closest atoms and distances in Å follow each position.
Atoms (fractional coordinates):
Ga 0.5000 0.0000 0.0000  2 Re 2.48
Ga 0.0000 0.0000 0.5000  2 Re 2.48
Ga 0.0000 0.5000 0.0000  2 Re 2.48
Re 0.0000 0.0000 0.0000  6 Ga 2.48
Te 0.5000 0.5000 0.5000  12 Ga 3.50


No. 2
Entry from Alexandria via LeMat-Bulk: an optimized crystal structure of Hf2NbOs (PBE-GGA).

Summary:
SG: I-42d (122)
Formation energy, eV per atom: 0.306
Total magnetization, μB per formula unit: 0.00
Total DFT energy (no corrections), eV/atom: -9.996

Lattice parameters (Å, degrees): 7.5493 7.5493 6.0466 51.37 51.37 90.00
Closest atoms and distances in Å follow each position.
Atoms (fractional coordinates):
Hf 0.0912 0.6250 0.2500  2 Os 2.59, 2 Hf 2.89
Hf 0.6588 0.1250 0.2500  2 Os 2.59, 2 Hf 2.89
Hf 0.3750 0.3412 0.7500  2 Os 2.59, 2 Hf 2.89
Hf 0.8750 0.9088 0.7500  2 Os 2.59, 2 Hf 2.89
Os 0.7500 0.2500 0.5000  4 Hf 2.59, 2 Nb 2.84
Os 0.0000 0.0000 0.0000  4 Hf 2.59, 2 Nb 2.84
Nb 0.2500 0.7500 0.5000  2 Os 2.84, 4 Hf 2.94
Nb 0.5000 0.5000 0.0000  2 Os 2.84, 4 Hf 2.94


No. 3
Entry from Alexandria via LeMat-Bulk: an optimized crystal structure of CaAgMo (PBE-GGA).

Summary:
SG: I4mm (107)
Formation energy, eV per atom: 0.550
Total magnetization, μB per formula unit: 0.00
Total DFT energy (no corrections), eV/atom: -4.678
Polymorph energy (0 for the lowest one), meV per atom: 0.0

Lattice parameters (Å, degrees): 7.5057 7.5051 2.8543 79.05 79.03 21.92
Closest atoms and distances in Å follow each position.
Atoms (fractional coordinates):
Ca 0.3315 0.3315 0.6685  4 Ca 2.85
Mo 0.6596 0.6596 0.3404  4 Mo 2.85, 4 Ag 2.97
Ag 0.0089 0.0089 0.9911  4 Ag 2.85, 4 Mo 2.97


Which formula does entry 1 have? Ga3ReTe


Look up the total magnetization of the third one. 0.00 μB per formula unit